No. 1
NbHg3P GGA-PBE relaxed; density = 7.8 g cm⁻³; E_form = 1.27 eV/atom; SG = Pm-3m (221); E_tot = -2.00 eV per atom
1.0
-2.360 2.644 4.038
2.934 -2.784 3.537
3.833 3.759 -0.221
Nb Hg P
1 3 1
direct
0.000 0.000 0.000
0.000 0.500 0.000
0.500 0.000 0.000
0.000 0.000 0.500
0.500 0.500 0.500

---

No. 2
Hg4S2F GGA-PBE relaxed; density = 7.4 g cm⁻³; formation energy without anion corrections = -0.0588 eV/atom; SG = I4/mmm (139); E_tot = -1.68 eV per atom
1.0
-2.238 3.281 3.153
-4.281 -2.710 -0.218
-0.903 -3.923 7.520
Hg F S
4 1 2
direct
0.000 0.500 0.000
0.500 0.000 0.000
0.762 0.762 0.477
0.238 0.238 0.523
0.000 0.000 0.000
0.579 0.579 0.842
0.421 0.421 0.158

---

Number 1: total magnetic moment 0.000 μB per cell. Number 2: total magnetic moment 0.000 μB per cell.